Computed, not measured: a geometry-optimized NaYTh structure at the PBE level of DFT.

abc: 7.572 7.572 7.572
angles: 90.00 90.00 90.00
Sites, in units of the cell vectors:
Na 0.000 0.000 0.000
Na 0.000 0.500 0.500
Na 0.500 0.000 0.500
Na 0.500 0.500 0.000
Y 0.250 0.250 0.250
Y 0.250 0.750 0.750
Y 0.750 0.250 0.750
Y 0.750 0.750 0.250
Th 0.000 0.000 0.500
Th 0.000 0.500 0.000
Th 0.500 0.000 0.000
Th 0.500 0.500 0.500

Magnetization in μB per formula unit: 0.04
Calculated volume in Å³/atom: 36.2
Calculated total energy in eV/f.u.: -11.706
Space-group type: F-43m (216)

---

Computed, not measured: a geometry-optimized TbErTlCu2 structure at the PBE level of DFT.

abc: 3.598 4.263 14.028
angles: 90.00 90.00 90.00
Sites, in units of the cell vectors:
Tb 0.000 0.000 0.000
Tb 0.000 0.500 0.500
Er 0.000 0.000 0.730
Er 0.000 0.500 0.230
Tl 0.500 0.000 0.365
Tl 0.500 0.500 0.865
Cu 0.500 0.000 0.164
Cu 0.500 0.000 0.569
Cu 0.500 0.500 0.069
Cu 0.500 0.500 0.664

Magnetization in μB per formula unit: 0.00
Calculated volume in Å³/atom: 21.5
Calculated total energy in eV/f.u.: -20.593
Space-group type: Amm2 (38)

---

Computed, not measured: a geometry-optimized Re2Ir structure at the PBE level of DFT.

abc: 7.940 7.940 7.940
angles: 60.00 60.00 60.00
Sites, in units of the cell vectors:
Re 0.000 0.000 0.000
Re 0.000 0.000 0.500
Re 0.000 0.500 0.000
Re 0.500 0.000 0.000
Ir 0.125 0.125 0.125
Ir 0.875 0.875 0.875

Magnetization in μB per formula unit: 7.14
Polymorph energy (0 for the lowest one) in eV per atom: 3.263
Calculated volume in Å³/atom: 59.0
Formation energy in eV per formula unit: 11.21
Calculated total energy in eV/f.u.: -22.495
Space-group type: Fd-3m (227)

---

Computed, not measured: a geometry-optimized CoCuGeOs structure at the PBE level of DFT.

abc: 5.880 5.880 5.880
angles: 90.00 90.00 90.00
Sites, in units of the cell vectors:
Co 0.000 0.000 0.000
Co 0.000 0.500 0.500
Co 0.500 0.000 0.500
Co 0.500 0.500 0.000
Cu 0.250 0.250 0.250
Cu 0.250 0.750 0.750
Cu 0.750 0.250 0.750
Cu 0.750 0.750 0.250
Ge 0.250 0.250 0.750
Ge 0.250 0.750 0.250
Ge 0.750 0.250 0.250
Ge 0.750 0.750 0.750
Os 0.000 0.000 0.500
Os 0.000 0.500 0.000
Os 0.500 0.000 0.000
Os 0.500 0.500 0.500

Magnetization in μB per formula unit: 0.69
Polymorph energy (0 for the lowest one) in eV per atom: 0.000
Calculated volume in Å³/atom: 12.7
Calculated total energy in eV/f.u.: -25.985
Space-group type: F-43m (216)

---

Computed, not measured: a geometry-optimized NaSm3S4 structure at the PBE level of DFT.

abc: 8.058 11.343 4.000
angles: 90.00 90.00 90.00
Sites, in units of the cell vectors:
Na 0.000 0.000 0.000
Na 0.500 0.500 0.000
Sm 0.000 0.500 0.000
Sm 0.250 0.250 0.500
Sm 0.250 0.750 0.500
Sm 0.500 0.000 0.000
Sm 0.750 0.250 0.500
Sm 0.750 0.750 0.500
S 0.000 0.249 0.000
S 0.000 0.751 0.000
S 0.247 0.500 0.500
S 0.253 0.000 0.500
S 0.500 0.251 0.000
S 0.500 0.749 0.000
S 0.747 0.000 0.500
S 0.753 0.500 0.500

Magnetization in μB per formula unit: 0.01
Calculated volume in Å³/atom: 22.9
Calculated total energy in eV/f.u.: -47.369
Space-group type: Cmmm (65)

---

Computed, not measured: a geometry-optimized Pr3GaI2Cl structure at the PBE level of DFT.

abc: 6.124 6.124 6.297
angles: 90.00 90.00 90.00
Sites, in units of the cell vectors:
Pr 0.000 0.000 0.000
Pr 0.000 0.500 0.500
Pr 0.500 0.000 0.500
Ga 0.000 0.000 0.500
I 0.000 0.500 0.000
I 0.500 0.000 0.000
Cl 0.500 0.500 0.500

Magnetization in μB per formula unit: 0.00
Calculated volume in Å³/atom: 33.7
Calculated total energy in eV/f.u.: -30.428
Space-group type: P4/mmm (123)

---

Computed, not measured: a geometry-optimized SmInPt4 structure at the PBE level of DFT.

abc: 5.424 5.424 5.424
angles: 60.00 60.00 60.00
Sites, in units of the cell vectors:
Sm 0.000 0.000 0.000
In 0.250 0.250 0.250
Pt 0.126 0.625 0.625
Pt 0.625 0.126 0.625
Pt 0.625 0.625 0.126
Pt 0.625 0.625 0.625

Magnetization in μB per formula unit: 0.00
Calculated volume in Å³/atom: 18.8
Calculated total energy in eV/f.u.: -36.510
Space-group type: F-43m (216)

---

Computed, not measured: a geometry-optimized SmLuZn2Sn2 structure at the PBE level of DFT.

abc: 4.528 4.528 15.767
angles: 90.00 90.00 120.00
Sites, in units of the cell vectors:
Sm 0.000 0.000 0.250
Sm 0.000 0.000 0.750
Lu 0.000 0.000 0.000
Lu 0.000 0.000 0.500
Zn 0.333 0.667 0.156
Zn 0.333 0.667 0.344
Zn 0.667 0.333 0.656
Zn 0.667 0.333 0.844
Sn 0.333 0.667 0.609
Sn 0.333 0.667 0.891
Sn 0.667 0.333 0.109
Sn 0.667 0.333 0.391

Magnetization in μB per formula unit: 0.00
Polymorph energy (0 for the lowest one) in eV per atom: 0.020
Calculated volume in Å³/atom: 23.3
Calculated total energy in eV/f.u.: -23.082
Space-group type: P6_3/mmc (194)